1.
The following is a DFT calculation (GGA-PBE) of crystalline KDyN at its relaxed geometry.

extended XYZ file:
```
12
Lattice="3.893 0.000 0.000 0.000 4.771 0.000 0.000 0.000 19.722" Properties=species:S:1:pos:R:3 pbc="T T T"
Dy 2.919 2.365 14.124
Dy 0.973 4.750 15.459
Dy 2.920 2.406 4.263
Dy 0.973 0.021 5.598
K 0.977 0.016 1.709
K 2.923 2.369 18.013
K 0.970 4.755 11.570
K 2.916 2.402 8.152
N 2.920 0.021 4.442
N 0.973 2.364 15.281
N 0.973 2.407 5.419
N 2.920 4.750 14.303
```

Results
* Fermi-level density of states: 1.17 states/eV/f.u.
* formation energy without anion corrections: -788 meV per atom
* final energy: -65.551 eV/cell

2.
The following is a DFT calculation (GGA-PBE) of crystalline Y4Ho3Th at its relaxed geometry.

extended XYZ file:
```
8
Lattice="-0.679 3.777 -4.159 -2.092 -2.267 -1.718 -10.221 3.092 8.327" Properties=species:S:1:pos:R:3 pbc="T T T"
Y -3.587 1.796 -1.633
Y -6.892 1.623 2.599
Y -6.100 2.979 -0.148
Y -9.405 2.806 4.084
Ho -7.587 5.306 2.208
Ho -1.046 -1.134 -0.859
Ho -5.404 -0.705 0.243
Th -0.340 1.889 -2.079
```

Results
* Fermi-level density of states: 13.78 states/eV/f.u.
* calculated formation energy: 0.2297 eV per atom
* final energy: -45.172 eV/cell

3.
The following is a DFT calculation (GGA-PBE) of crystalline PmZrHgPt at its relaxed geometry.

extended XYZ file:
```
4
Lattice="-3.422 3.520 1.141 -4.894 -1.197 0.146 -2.421 -0.177 4.417" Properties=species:S:1:pos:R:3 pbc="T T T"
Pm 0.000 0.000 0.000
Hg -2.684 0.537 1.426
Pt -8.053 1.610 4.278
Zr -5.369 1.073 2.852
```

Results
* Fermi-level density of states: 4.23 states/eV/f.u.
* calculated formation energy: -0.5036 eV per atom
* final energy: -21.656 eV/cell

4.
The following is a DFT calculation (GGA-PBE) of crystalline LuZrHgPd at its relaxed geometry.

extended XYZ file:
```
4
Lattice="-2.942 -3.964 -0.180 -0.970 -2.545 4.121 -4.510 0.178 2.009" Properties=species:S:1:pos:R:3 pbc="T T T"
Pd 0.000 0.000 0.000
Zr -6.316 -4.749 4.462
Hg -4.211 -3.166 2.975
Lu -2.105 -1.583 1.487
```

Results
* Fermi-level density of states: 5.35 states/eV/f.u.
* calculated formation energy: -0.4461 eV per atom
* final energy: -20.348 eV/cell

5.
The following is a DFT calculation (GGA-PBE) of crystalline ThTiS2 at its relaxed geometry.

extended XYZ file:
```
4
Lattice="-2.178 -1.007 3.072 -2.985 -2.466 -0.452 3.239 -7.431 2.334" Properties=species:S:1:pos:R:3 pbc="T T T"
Th -0.962 -5.452 2.477
S 1.796 -5.606 1.909
S -3.721 -5.297 3.045
Ti 0.000 0.000 0.000
```

Results
* Fermi-level density of states: 4.79 states/eV/f.u.
* formation energy without anion corrections: -902 meV per atom
* final energy: -27.179 eV/cell

6.
The following is a DFT calculation (GGA-PBE) of crystalline Sr2MgCo at its relaxed geometry.

extended XYZ file:
```
4
Lattice="6.189 0.088 0.000 2.379 5.715 0.000 -4.284 -2.901 3.398" Properties=species:S:1:pos:R:3 pbc="T T T"
Sr 1.189 2.857 1.699
Sr 0.000 0.000 0.000
Co 4.284 2.901 0.000
Mg 3.095 0.044 1.699
```

Results
* Fermi-level density of states: 3.90 states/eV/f.u.
* calculated formation energy: 0.4811 eV per atom
* final energy: -10.140 eV/cell

7.
The following is a DFT calculation (GGA-PBE) of crystalline BeHgOs4 at its relaxed geometry.

extended XYZ file:
```
6
Lattice="0.000 3.666 3.666 3.666 0.000 3.666 3.666 3.666 0.000" Properties=species:S:1:pos:R:3 pbc="T T T"
Os 2.753 2.753 2.753
Os 4.580 4.580 2.753
Os 2.753 4.580 4.580
Os 4.580 2.753 4.580
Be 5.499 5.499 5.499
Hg 0.000 0.000 0.000
```

Results
* Fermi-level density of states: 8.57 states/eV/f.u.
* calculated formation energy: 1.0442 eV per atom
* final energy: -42.682 eV/cell